Model A:
5
Lattice="-4.715 -2.810 4.191 4.895 -3.940 2.865 0.877 3.528 3.353" Properties=species:S:1:pos:R:3 comment="PBE-GGA Rb2LiOsI, optimized geometry" rho_g_cm3=3.48 volume_a3_per_fu=235.9 dos_at_fermi_per_ev_atom=1.07 pbc="T T T"
I 0.439 1.764 1.676
Os 0.000 0.000 0.000
Rb 2.448 -1.970 1.433
Rb -2.357 -1.405 2.096
Li 0.529 -1.611 5.205



Model B:
5
Lattice="6.618 0.000 0.000 0.000 4.885 0.000 0.000 0.000 6.618" Properties=species:S:1:pos:R:3 comment="PBE-GGA Rb2LiOsI, optimized geometry" rho_g_cm3=3.84 volume_a3_per_fu=214.0 dos_at_fermi_per_ev_atom=0.55 pbc="T T T"
I 3.309 2.442 3.309
Os 0.000 0.000 0.000
Rb 0.000 0.000 3.309
Rb 3.309 0.000 0.000
Li 0.000 2.442 0.000



Top of the stability list: model B, leading by 19.1 kJ/mol of atoms.